Entry 1:
First-principles (PBE-GGA) data for RbZrAsSe2 after structural relaxation, as listed in Alexandria via LeMat-Bulk.

Geometry as POSCAR:
```
RbZrAsSe2
1.0
5.4600 0.0000 0.0000
0.0000 5.4600 0.0000
0.0000 0.0000 5.3177
Rb Zr As Se
1 1 1 2
Cartesian
0.0000 0.0000 0.0000
2.7300 2.7300 2.6588
0.0000 0.0000 2.6588
0.0000 2.7300 0.0000
2.7300 0.0000 0.0000
```

Values from the calculation:
Theoretical density in g/cm³: 4.3
Electronic total energy in hartree per atom: -0.1072
Space-group type: P4/mmm
Energy relative to the elements, uncorrected in eV per atom: 1.311

Entry 2:
First-principles (PBE-GGA) data for Rb5Si2As5 after structural relaxation, as listed in Alexandria via LeMat-Bulk.

Geometry as POSCAR:
```
Rb5Si2As5
1.0
8.3713 -1.8741 0.0000
8.3713 1.8741 0.0000
-2.7434 0.0000 11.8306
Rb Si As
5 2 5
Cartesian
0.0000 0.0000 0.0000
1.1823 0.0000 7.0002
2.4689 0.0000 10.3659
11.5302 0.0000 1.4648
12.8168 0.0000 4.8304
6.1292 0.0000 8.2240
7.8699 0.0000 3.6066
1.0078 0.0000 3.4481
6.0630 0.0000 2.0549
6.9995 0.0000 5.9153
7.9361 0.0000 9.7757
12.9913 0.0000 8.3825
```

Values from the calculation:
Theoretical density in g/cm³: 3.8
Electronic total energy in hartree per atom: -0.1276
Space-group type: C2/m
Energy relative to the elements, uncorrected in eV per atom: -0.229

Entry 3:
First-principles (PBE-GGA) data for RbSi2As2 after structural relaxation, as listed in Alexandria via LeMat-Bulk.

Geometry as POSCAR:
```
RbSi2As2
1.0
-2.2947 2.2947 6.3653
2.2947 -2.2947 6.3653
2.2947 2.2947 -6.3653
Rb Si As
1 2 2
Cartesian
0.0000 0.0000 0.0000
2.2947 0.0000 3.1827
0.0000 2.2947 3.1827
0.0000 0.0000 4.2965
0.0000 0.0000 8.4341
```

Values from the calculation:
Theoretical density in g/cm³: 3.6
Electronic total energy in hartree per atom: -0.1562
Space-group type: I4/mmm
Energy relative to the elements, uncorrected in eV per atom: -0.028

Entry 4:
First-principles (PBE-GGA) data for RbSi2As after structural relaxation, as listed in Alexandria via LeMat-Bulk.

Geometry as POSCAR:
```
RbSi2As
1.0
-2.4777 2.4777 8.9690
2.4777 -2.4777 8.9690
2.4777 2.4777 -8.9690
Rb Si As
2 4 2
Cartesian
2.4777 1.2388 2.2422
0.0000 1.2388 6.7267
0.0000 0.0000 0.0000
1.2388 1.2388 -4.4845
1.2388 -1.2388 4.4845
0.0000 2.4777 0.0000
2.4777 -1.2388 6.7267
0.0000 3.7165 2.2422
```

Values from the calculation:
Theoretical density in g/cm³: 3.3
Electronic total energy in hartree per atom: -0.1436
Space-group type: I4_1/amd
Energy relative to the elements, uncorrected in eV per atom: 0.207

Entry 5:
First-principles (PBE-GGA) data for Rb2Si2As after structural relaxation, as listed in Alexandria via LeMat-Bulk.

Geometry as POSCAR:
```
Rb2Si2As
1.0
7.0963 0.0000 0.0000
0.0000 7.0963 0.0000
0.0000 0.0000 5.6901
Rb Si As
4 4 2
Cartesian
1.4081 2.1400 0.0000
2.1400 5.6882 0.0000
4.9563 1.4081 0.0000
5.6882 4.9563 0.0000
0.8007 4.3488 2.8451
2.7475 0.8007 2.8451
4.3488 6.2957 2.8451
6.2957 2.7475 2.8451
0.0000 0.0000 2.8451
3.5482 3.5482 2.8451
```

Values from the calculation:
Theoretical density in g/cm³: 3.5
Electronic total energy in hartree per atom: -0.1219
Space-group type: P4/mbm
Energy relative to the elements, uncorrected in eV per atom: 0.168

Entry 6:
First-principles (PBE-GGA) data for RbSiAs after structural relaxation, as listed in Alexandria via LeMat-Bulk.

Geometry as POSCAR:
```
RbSiAs
1.0
6.7933 -1.8813 0.0000
6.7933 1.8813 0.0000
-5.8353 0.0000 7.3749
Rb Si As
2 2 2
Cartesian
1.6558 0.0000 1.4977
6.0956 0.0000 5.8772
-1.9737 0.0000 3.0260
9.7250 0.0000 4.3488
5.2626 0.0000 1.6420
2.4887 0.0000 5.7329
```

Values from the calculation:
Theoretical density in g/cm³: 3.3
Electronic total energy in hartree per atom: -0.1435
Space-group type: C2/m
Energy relative to the elements, uncorrected in eV per atom: -0.224

Entry 7:
First-principles (PBE-GGA) data for RbSi2As2 after structural relaxation, as listed in Alexandria via LeMat-Bulk.

Geometry as POSCAR:
```
RbSi2As2
1.0
6.3353 0.0000 0.0000
2.1029 6.3428 0.0000
1.9224 1.9620 6.6174
Rb Si As
2 4 4
Cartesian
2.5740 3.1058 1.3375
7.7865 5.1991 5.2799
3.0040 1.5677 5.1235
4.9589 2.9843 4.5225
5.4017 5.3206 2.0949
7.3565 6.7372 1.4939
3.5197 6.3311 0.8626
4.5828 5.5239 4.3324
5.7777 2.7810 2.2850
6.8409 1.9737 5.7548
```

Values from the calculation:
Theoretical density in g/cm³: 3.6
Electronic total energy in hartree per atom: -0.1559
Space-group type: P-1
Energy relative to the elements, uncorrected in eV per atom: -0.020

Entry 8:
First-principles (PBE-GGA) data for Rb3Si2As4 after structural relaxation, as listed in Alexandria via LeMat-Bulk.

Geometry as POSCAR:
```
Rb3Si2As4
1.0
7.8548 -5.4635 0.0000
7.8548 5.4635 0.0000
-0.2439 0.0000 6.8600
Rb Si As
6 4 8
Cartesian
7.6719 4.3144 5.1450
5.7732 1.4209 3.2359
9.8144 1.4209 0.1941
5.6512 -1.4209 6.6659
9.6925 -1.4209 3.6241
7.7938 -4.3144 1.7150
3.1462 1.2709 6.5823
3.2681 -1.2709 3.1523
12.1976 1.2709 3.7078
12.3195 -1.2709 0.2777
2.5568 0.7319 4.2681
5.3884 2.1396 6.7254
2.6787 -0.7319 0.8381
9.9553 2.1396 3.5647
5.5104 -2.1396 3.2953
12.7870 0.7319 6.0219
10.0772 -2.1396 0.1347
12.9089 -0.7319 2.5919
```

Values from the calculation:
Theoretical density in g/cm³: 3.5
Electronic total energy in hartree per atom: -0.1429
Space-group type: C2/c
Energy relative to the elements, uncorrected in eV per atom: -0.295